[1]
Below is a relaxed SmMgGaO4 crystal, with properties calculated at the PBE level.

Cell and atoms, written as POSCAR:
```
SmMgGaO4
1.0
-3.015 5.353 1.388
-0.796 1.689 6.050
3.263 4.991 2.129
Ga Sm O Mg
2 2 8 2
Cartesian
1.399 7.001 4.618
-1.946 5.032 4.948
0.000 0.000 0.000
1.233 3.340 4.089
-0.192 3.000 2.305
-0.049 8.128 4.069
-0.499 3.905 5.498
1.415 5.528 3.395
-1.963 6.505 6.172
1.025 6.326 6.411
-0.356 9.033 7.261
-1.573 5.707 3.156
1.631 2.495 1.065
0.124 5.172 1.758
```

Values from the calculation:
N(E_F)	0.0	states/eV/f.u.
space-group type	Imma, No. 74
electronic total energy	-6.659	eV/atom
uncorrected formation energy	-2.491	eV per atom

[2]
Below is a relaxed BaCePb2 crystal, with properties calculated at the PBE level.

Cell and atoms, written as POSCAR:
```
BaCePb2
1.0
5.430 0.000 0.000
2.715 4.702 0.000
2.715 1.567 5.857
Pb Ba Ce
2 1 1
Cartesian
8.145 4.702 4.673
2.715 1.567 1.185
5.430 3.135 2.929
0.000 0.000 0.000
```

Values from the calculation:
DFT formation energy	-0.310	eV/atom
N(E_F)	8.2	states/eV/f.u.
space-group type	R-3m, No. 166
electronic total energy	-4.129	eV/atom

[3]
Below is a relaxed ZrZn2Hg crystal, with properties calculated at the PBE level.

Cell and atoms, written as POSCAR:
```
ZrZn2Hg
1.0
7.453 0.000 0.000
0.000 7.453 0.000
3.726 3.726 2.938
Zn Hg Zr
4 2 2
Cartesian
9.316 9.414 2.204
5.590 5.491 2.204
5.688 1.863 0.735
1.765 5.590 0.735
7.453 3.726 1.469
0.000 0.000 0.000
3.726 3.726 0.000
3.726 7.453 1.469
```

Values from the calculation:
DFT formation energy	0.115	eV/atom
N(E_F)	1.4	states/eV/f.u.
space-group type	I-42d, No. 122
electronic total energy	-2.734	eV/atom

[4]
Below is a relaxed Na2NpTe6Pb3 crystal, with properties calculated at the PBE level.

Cell and atoms, written as POSCAR:
```
Na2NpTe6Pb3
1.0
-0.796 -3.775 6.900
1.193 -4.149 -6.622
7.307 3.005 0.992
Pb Te Na Np
3 6 2 1
Cartesian
4.521 -2.585 -3.913
3.183 -2.333 5.183
3.852 -2.459 0.635
5.594 0.396 0.812
2.111 -5.315 0.458
5.574 -3.687 3.100
1.504 -1.114 2.430
2.130 -1.232 -1.830
6.201 -3.805 -1.160
-0.134 -3.899 2.402
0.532 -4.025 -2.124
0.000 0.000 0.000
```

Values from the calculation:
N(E_F)	5.1	states/eV/f.u.
space-group type	C2/m, No. 12
electronic total energy	-4.395	eV/atom
uncorrected formation energy	-0.599	eV per atom

[5]
Below is a relaxed Ce2SmGe2 crystal, with properties calculated at the PBE level.

Cell and atoms, written as POSCAR:
```
Ce2SmGe2
1.0
-4.697 -0.026 -2.708
1.105 -4.932 -1.870
-4.385 -1.535 7.622
Ce Ge Sm
4 4 2
Cartesian
-2.748 -2.502 2.077
-5.229 -3.991 0.968
-3.798 -1.837 -1.536
-4.179 -4.656 4.580
-2.776 -5.534 2.154
-6.943 -5.204 3.953
-5.202 -0.959 0.891
-1.034 -1.290 -0.908
-1.284 -4.409 -0.445
-6.694 -2.085 3.489
```

Values from the calculation:
DFT formation energy	-0.515	eV/atom
N(E_F)	8.9	states/eV/f.u.
E above lowest polymorph	0.149	eV per atom
space-group type	P2_1/m, No. 11
electronic total energy	-5.680	eV/atom

[6]
Below is a relaxed AcLa12Nd7 crystal, with properties calculated at the PBE level.

Cell and atoms, written as POSCAR:
```
AcLa12Nd7
1.0
-2.824 1.865 -8.509
-0.012 -9.154 -0.260
-7.750 1.498 4.643
Ac La Nd
1 12 7
Cartesian
0.000 0.000 0.000
-5.043 -4.235 1.245
-6.466 1.594 1.214
-5.544 -1.555 -5.372
-2.091 -1.008 -6.359
-7.679 -1.713 0.328
-8.556 0.587 -5.145
-2.030 -6.377 1.018
-4.326 -6.330 -1.796
-4.120 -7.384 -5.341
-6.260 0.540 -2.331
-2.907 -4.077 -4.454
-8.495 -4.782 2.232
-5.293 -2.895 -2.063
-8.979 -2.514 -3.431
-2.346 -0.387 -2.855
-1.607 -3.276 -0.696
-8.240 -5.403 -1.272
-3.635 -0.487 0.592
-6.951 -5.304 -4.719
```

Values from the calculation:
DFT formation energy	0.074	eV/atom
N(E_F)	30.3	states/eV/f.u.
E above lowest polymorph	0.000	eV per atom
space-group type	R-3m, No. 166
electronic total energy	-4.757	eV/atom

[7]
Below is a relaxed In2AgAu2 crystal, with properties calculated at the PBE level.

Cell and atoms, written as POSCAR:
```
In2AgAu2
1.0
4.277 0.000 0.000
0.000 4.277 0.000
2.138 2.138 6.358
In Au Ag
2 2 1
Cartesian
2.138 4.277 3.179
4.277 2.138 3.179
2.138 2.138 1.324
4.277 4.277 5.033
0.000 0.000 0.000
```

Values from the calculation:
DFT formation energy	0.080	eV/atom
N(E_F)	2.0	states/eV/f.u.
E above lowest polymorph	0.232	eV per atom
space-group type	I4/mmm, No. 139
electronic total energy	-2.897	eV/atom

[8]
Below is a relaxed Ca4Mg2O crystal, with properties calculated at the PBE level.

Cell and atoms, written as POSCAR:
```
Ca4Mg2O
1.0
-2.725 -3.110 2.401
3.091 -3.501 -1.026
4.290 5.091 6.701
Mg Ca O
2 4 1
Cartesian
1.470 -2.792 2.814
3.186 1.271 5.262
1.454 0.580 2.402
3.202 -2.101 5.675
1.546 -1.750 -0.513
-1.363 -1.555 1.201
0.000 0.000 0.000
```

Values from the calculation:
N(E_F)	5.0	states/eV/f.u.
space-group type	I4/mmm, No. 139
electronic total energy	-3.013	eV/atom
uncorrected formation energy	-0.705	eV per atom

[9]
Below is a relaxed AgW2N crystal, with properties calculated at the PBE level.

Cell and atoms, written as POSCAR:
```
AgW2N
1.0
1.279 -4.083 -0.332
-2.818 -3.185 0.576
-1.262 -2.379 -3.342
W N Ag
2 1 1
Cartesian
-2.102 -7.235 -2.324
-0.701 -2.412 -0.775
0.000 0.000 0.000
-1.401 -4.823 -1.549
```

Values from the calculation:
N(E_F)	2.0	states/eV/f.u.
E above lowest polymorph	0.640	eV per atom
space-group type	Fm-3m, No. 225
electronic total energy	-7.696	eV/atom
uncorrected formation energy	1.574	eV per atom

[10]
Below is a relaxed HfTlFe3 crystal, with properties calculated at the PBE level.

Cell and atoms, written as POSCAR:
```
HfTlFe3
1.0
4.761 0.000 0.000
0.000 4.761 0.000
0.000 0.000 4.761
Fe Hf Tl
3 1 1
Cartesian
0.000 2.380 0.000
0.000 0.000 2.380
2.380 0.000 0.000
2.380 2.380 2.380
0.000 0.000 0.000
```

Values from the calculation:
DFT formation energy	1.561	eV/atom
N(E_F)	9.6	states/eV/f.u.
E above lowest polymorph	0.200	eV per atom
space-group type	Pm-3m, No. 221
electronic total energy	-5.981	eV/atom

[11]
Below is a relaxed ZrCrSi2 crystal, with properties calculated at the PBE level.

Cell and atoms, written as POSCAR:
```
ZrCrSi2
1.0
4.138 0.000 0.000
0.000 3.051 -0.044
0.000 0.068 5.016
Si Zr Cr
2 1 1
Cartesian
0.000 2.327 2.501
0.000 2.352 4.957
2.069 0.780 1.243
2.069 2.339 3.729
```

Values from the calculation:
N(E_F)	2.5	states/eV/f.u.
E above lowest polymorph	0.349	eV per atom
space-group type	Pmmm, No. 47
electronic total energy	-7.533	eV/atom
uncorrected formation energy	-0.278	eV per atom

[12]
Below is a relaxed TlTe2W crystal, with properties calculated at the PBE level.

Cell and atoms, written as POSCAR:
```
TlTe2W
1.0
4.504 0.000 0.000
0.000 3.740 0.005
0.000 1.858 7.951
Tl Te W
1 2 1
Cartesian
0.000 3.034 3.600
2.252 1.166 1.812
0.000 4.900 6.593
2.252 4.896 7.886
```

Values from the calculation:
N(E_F)	3.7	states/eV/f.u.
E above lowest polymorph	0.341	eV per atom
space-group type	Amm2, No. 38
electronic total energy	-4.954	eV/atom
uncorrected formation energy	0.447	eV per atom

Question: Among the records above, which one has the highest electronic total energy?
Answer: ZrZn2Hg

Question: Among the records above, which one has the highest N(E_F)?
Answer: AcLa12Nd7

Question: What is the N(E_F) in the second record?
Answer: 8.2 states/eV/f.u.